# LaAsCl4

A relaxed LaAsCl4 crystal (PBE, Alexandria).

- uncorrected energy (eV per cell) = -18.9
- ΔE_f (raw) (eV per atom) = -0.322
- volume (Å³/atom) = 24.3
- DOS(E_F) (states/eV per atom) = 0.8710
- magnetic moment (μB per atom) = 0.651
- symmetry = F-43m

a b c (Å): 5.9043 5.9043 5.9043
angles (deg): 60.00 60.00 60.00
Last column: nearest neighbours and their distance in Å.
Element x y z (fractional)
La: 0.0000 0.0000 0.0000  12 Cl 3.46, 4 As 3.62
As: 0.7500 0.7500 0.7500  12 Cl 3.46, 4 La 3.62
Cl: 0.3743 0.3743 0.3743  6 Cl 2.93-2.97
Cl: 0.3743 0.3743 0.8772  6 Cl 2.93-2.97
Cl: 0.3743 0.8772 0.3743  6 Cl 2.93-2.97
Cl: 0.8772 0.3743 0.3743  6 Cl 2.93-2.97

---

# KBa3Y

A relaxed KBa3Y crystal (PBE, Alexandria).

- uncorrected energy (eV per cell) = -10.9
- ΔE_f (eV/atom) = 0.478
- polymorph energy (0 for the lowest one) (eV/atom) = 0.000
- volume (Å³/atom) = 70.2
- DOS(E_F) (states/eV per atom) = 1.9240
- magnetic moment (μB per atom) = 0.730
- symmetry = Pm-3m

a b c (Å): 7.0554 7.0554 7.0554
angles (deg): 90.00 90.00 90.00
Last column: nearest neighbours and their distance in Å.
Element x y z (fractional)
K: 0.0000 0.0000 0.0000  12 Ba 4.99
Ba: 0.0000 0.5000 0.5000  2 Y 3.53
Ba: 0.5000 0.0000 0.5000  2 Y 3.53
Ba: 0.5000 0.5000 0.0000  2 Y 3.53
Y: 0.5000 0.5000 0.5000  6 Ba 3.53

---

# Mn3V2Si3

A relaxed Mn3V2Si3 crystal (PBE, Alexandria).

- uncorrected energy (eV per cell) = -129.8
- ΔE_f (raw) (eV per atom) = -0.359
- volume (Å³/atom) = 13.0
- DOS(E_F) (states/eV per atom) = 0.7477
- magnetic moment (μB per atom) = 0.859
- symmetry = P6_3/mcm

a b c (Å): 7.0706 7.0706 4.8023
angles (deg): 90.00 90.00 120.00
Last column: nearest neighbours and their distance in Å.
Element x y z (fractional)
Mn: 0.0000 0.2626 0.2500  5 Si 2.39-2.54
Mn: 0.0000 0.7374 0.7500  5 Si 2.39-2.54
Mn: 0.2626 0.0000 0.2500  5 Si 2.39-2.54
Mn: 0.2626 0.2626 0.7500  5 Si 2.39-2.54
Mn: 0.7374 0.0000 0.7500  5 Si 2.39-2.54
Mn: 0.7374 0.7374 0.2500  5 Si 2.39-2.54
V: 0.3333 0.6667 0.0000  2 V 2.40, 6 Si 2.51
V: 0.3333 0.6667 0.5000  2 V 2.40, 6 Si 2.51
V: 0.6667 0.3333 0.0000  2 V 2.40, 6 Si 2.51
V: 0.6667 0.3333 0.5000  2 V 2.40, 6 Si 2.51
Si: 0.0000 0.3813 0.7500  5 Mn 2.39-2.54, 4 V 2.51
Si: 0.0000 0.6187 0.2500  5 Mn 2.39-2.54, 4 V 2.51
Si: 0.3813 0.0000 0.7500  5 Mn 2.39-2.54, 4 V 2.51
Si: 0.3813 0.3813 0.2500  5 Mn 2.39-2.54, 4 V 2.51
Si: 0.6187 0.0000 0.2500  5 Mn 2.39-2.54, 4 V 2.51
Si: 0.6187 0.6187 0.7500  5 Mn 2.39-2.54, 4 V 2.51

---

# SiPHS

A relaxed SiPHS crystal (PBE, Alexandria).

- uncorrected energy (eV per cell) = -19.1
- polymorph energy (0 for the lowest one) (eV/atom) = 0.007
- volume (Å³/atom) = 19.7
- DOS(E_F) (states/eV per atom) = 0.0000
- magnetic moment (μB per atom) = 0.000
- symmetry = P1

a b c (Å): 3.5834 3.5835 7.0777
angles (deg): 86.24 86.78 60.47
Last column: nearest neighbours and their distance in Å.
Element x y z (fractional)
Si: 0.0000 0.0000 0.0000  1 S 2.16, 3 P 2.28-2.30
P: 0.6765 0.6816 0.8609  3 Si 2.28-2.30
H: 0.7613 0.7491 0.3214  1 S 1.36
S: 0.9812 0.9698 0.3057  1 H 1.36

---

# ZrPa2Te6

A relaxed ZrPa2Te6 crystal (PBE, Alexandria).

- uncorrected energy (eV per cell) = -105.2
- ΔE_f (raw) (eV per atom) = -0.690
- polymorph energy (0 for the lowest one) (eV/atom) = 0.119
- volume (Å³/atom) = 37.1
- DOS(E_F) (states/eV per atom) = 0.4954
- magnetic moment (μB per atom) = 0.231
- symmetry = P4_2/mnm

a b c (Å): 7.3309 7.3309 12.4345
angles (deg): 90.00 90.00 90.00
Last column: nearest neighbours and their distance in Å.
Element x y z (fractional)
Zr: 0.0000 0.0000 0.0000  6 Te 2.90-2.99
Zr: 0.5000 0.5000 0.5000  6 Te 2.90-2.99
Pa: 0.0000 0.0000 0.3326  6 Te 3.01-3.07
Pa: 0.0000 0.0000 0.6674  6 Te 3.01-3.07
Pa: 0.5000 0.5000 0.1674  6 Te 3.01-3.07
Pa: 0.5000 0.5000 0.8326  6 Te 3.01-3.07
Te: 0.2037 0.2037 0.1602  1 Zr 2.90, 2 Pa 3.01-3.07
Te: 0.2037 0.2037 0.8398  1 Zr 2.90, 2 Pa 3.01-3.07
Te: 0.2111 0.2111 0.5000  1 Zr 2.99, 2 Pa 3.02
Te: 0.2889 0.7111 0.0000  1 Zr 2.99, 2 Pa 3.02
Te: 0.2963 0.7037 0.3398  1 Zr 2.90, 2 Pa 3.01-3.07
Te: 0.2963 0.7037 0.6602  1 Zr 2.90, 2 Pa 3.01-3.07
Te: 0.7037 0.2963 0.3398  1 Zr 2.90, 2 Pa 3.01-3.07
Te: 0.7037 0.2963 0.6602  1 Zr 2.90, 2 Pa 3.01-3.07
Te: 0.7111 0.2889 0.0000  1 Zr 2.99, 2 Pa 3.02
Te: 0.7889 0.7889 0.5000  1 Zr 2.99, 2 Pa 3.02
Te: 0.7963 0.7963 0.1602  1 Zr 2.90, 2 Pa 3.01-3.07
Te: 0.7963 0.7963 0.8398  1 Zr 2.90, 2 Pa 3.01-3.07

---

# TaNbTe2Br

A relaxed TaNbTe2Br crystal (PBE, Alexandria).

- uncorrected energy (eV per cell) = -26.0
- ΔE_f (raw) (eV per atom) = 0.785
- volume (Å³/atom) = 29.1
- DOS(E_F) (states/eV per atom) = 1.2974
- magnetic moment (μB per atom) = 0.000
- symmetry = P4/mmm

a b c (Å): 5.3295 5.3295 5.1290
angles (deg): 90.00 90.00 90.00
Last column: nearest neighbours and their distance in Å.
Element x y z (fractional)
Ta: 0.0000 0.0000 0.0000  2 Nb 2.56
Nb: 0.0000 0.0000 0.5000  2 Ta 2.56, 4 Te 2.66
Te: 0.0000 0.5000 0.5000  2 Nb 2.66
Te: 0.5000 0.0000 0.5000  2 Nb 2.66
Br: 0.5000 0.5000 0.0000  8 Te 3.70, 4 Ta 3.77

---

# BaPrAgHg

A relaxed BaPrAgHg crystal (PBE, Alexandria).

- uncorrected energy (eV per cell) = -10.9
- ΔE_f (eV/atom) = -0.268
- volume (Å³/atom) = 31.6
- DOS(E_F) (states/eV per atom) = 0.9240
- magnetic moment (μB per atom) = 0.000
- symmetry = F-43m

a b c (Å): 5.6320 5.6320 5.6320
angles (deg): 60.00 60.00 60.00
Last column: nearest neighbours and their distance in Å.
Element x y z (fractional)
Ba: 0.0000 0.0000 0.0000  4 Hg 3.45, 4 Ag 3.45
Pr: 0.5000 0.5000 0.5000  4 Hg 3.45, 4 Ag 3.45
Ag: 0.2500 0.2500 0.2500  4 Ba 3.45, 4 Pr 3.45
Hg: 0.7500 0.7500 0.7500  4 Ba 3.45, 4 Pr 3.45

---

# Ca2Cd3In

A relaxed Ca2Cd3In crystal (PBE, Alexandria).

- uncorrected energy (eV per cell) = -23.4
- ΔE_f (eV/atom) = -0.365
- volume (Å³/atom) = 26.4
- DOS(E_F) (states/eV per atom) = 0.5435
- magnetic moment (μB per atom) = 0.000
- symmetry = Fmmm

a b c (Å): 10.0387 9.4237 6.1972
angles (deg): 76.92 66.12 36.96
Last column: nearest neighbours and their distance in Å.
Element x y z (fractional)
Ca: 0.2492 0.7508 0.7508  10 Cd 3.41-3.43, 2 In 3.42, 2 Ca 3.62-3.65
Ca: 0.2500 0.2500 0.2500  4 In 3.42, 8 Cd 3.42-3.43, 2 Ca 3.64
Ca: 0.7500 0.7500 0.7500  4 In 3.42, 8 Cd 3.42-3.43, 2 Ca 3.64
Ca: 0.7508 0.2492 0.2492  10 Cd 3.41-3.43, 2 In 3.42, 2 Ca 3.62-3.65
Cd: 0.1661 0.1661 0.8339  2 Cd 2.89, 1 In 2.91
Cd: 0.1660 0.6681 0.3319  2 Cd 2.88-2.89, 1 In 2.91
Cd: 0.3319 0.8340 0.1660  2 Cd 2.88-2.89, 1 In 2.91
Cd: 0.6681 0.1660 0.8340  2 Cd 2.88-2.89, 1 In 2.91
Cd: 0.8340 0.3319 0.6681  2 Cd 2.88-2.89, 1 In 2.91
Cd: 0.8339 0.8339 0.1661  2 Cd 2.89, 1 In 2.91
In: 0.3336 0.3336 0.6664  3 Cd 2.91
In: 0.6664 0.6664 0.3336  3 Cd 2.91